Below is a relaxed Ir2Pb2I crystal, with properties calculated at the PBE-GGA level.

a = 8.701 Å, b = 8.701 Å, c = 3.092 Å
α = 90.00°, β = 90.00°, γ = 90.00°
Sites, in units of the cell vectors:
Ir: 0.115 0.385 0.000
Ir: 0.385 0.885 0.000
Ir: 0.615 0.115 0.000
Ir: 0.885 0.615 0.000
Pb: 0.168 0.668 0.500
Pb: 0.332 0.168 0.500
Pb: 0.668 0.832 0.500
Pb: 0.832 0.332 0.500
I: 0.000 0.000 0.500
I: 0.500 0.500 0.500

Calculated values
Energy relative to the elements, uncorrected   0.684 eV per atom
Space group   P4/mbm (127)